Density functional theory data (PBE) for an optimized crystal structure of Er8Tl2Ni.

Calculated values
As for the energy of formation: -0.16 eV/atom.

Lattice parameters (Å, degrees): 18.6531 5.1809 6.6315 90.00 110.56 90.00
With the nearest neighbours (Å) after each atom.
Space group C2/m (No. 12)
Asymmetric unit:
Er: 0.0177 0.0000 0.2468  2 Ni 3.02, 1 Tl 3.08, 3 Er 3.10-3.29
Er: 0.0895 0.5000 0.7435  1 Ni 2.77
Er: 0.1459 0.5000 0.3078  1 Ni 2.77
Er: 0.2079 0.0000 0.0945  1 Tl 3.06, 2 Er 3.35
Tl: 0.1759 0.0000 0.6097  7 Er 3.06-3.33
Ni: 0.0000 0.5000 0.0000  8 Er 2.77-3.02

Density functional theory data (PBE) for an optimized crystal structure of Tc2SbCl.

Calculated values
The total DFT energy (no corrections) comes out at -5.9834 eV/atom.

Lattice parameters (Å, degrees): 3.1002 5.4307 8.3889 90.00 90.00 90.00
With the nearest neighbours (Å) after each atom.
Space group Cmmm (No. 65)
Asymmetric unit:
Tc: 0.0000 0.0000 0.2482  2 Cl 2.60, 2 Sb 2.62
Sb: 0.0000 0.5000 0.5000  4 Tc 2.62
Cl: 0.0000 0.5000 0.0000  4 Tc 2.60

Density functional theory data (PBE) for an optimized crystal structure of Cd2NiRh.

Calculated values
As for the energy of formation: 0.03 eV/atom.

Lattice parameters (Å, degrees): 2.9962 2.9962 7.4770 90.00 90.00 90.00
With the nearest neighbours (Å) after each atom.
Space group P4mm (No. 99)
Asymmetric unit:
Cd: 0.0000 0.0000 0.0000  4 Rh 2.86, 4 Cd 3.00
Cd: 0.5000 0.5000 0.3256  4 Ni 2.74, 4 Cd 3.00
Ni: 0.0000 0.0000 0.5571  4 Rh 2.54, 4 Cd 2.74
Rh: 0.5000 0.5000 0.7436  4 Ni 2.54

Density functional theory data (PBE) for an optimized crystal structure of SrNp2AgO8.

Calculated values
The total DFT energy (no corrections) comes out at -8.0634 eV/atom.

Lattice parameters (Å, degrees): 5.5436 5.5436 10.5411 90.00 90.00 90.00
With the nearest neighbours (Å) after each atom.
Space group I-4 (No. 82)
Asymmetric unit:
Sr: 0.0000 0.0000 0.0000  8 O 2.49-2.52
Np: 0.0000 0.0000 0.5000  4 O 2.06
Np: 0.0000 0.5000 0.7500  4 O 2.06
Ag: 0.0000 0.5000 0.2500  8 O 2.46-2.53
O: 0.2102 0.7741 0.6081  1 Np 2.06
O: 0.2156 0.2741 0.6441  1 Np 2.06

Density functional theory data (PBE) for an optimized crystal structure of AgOsCl2.

Calculated values
The total DFT energy (no corrections) comes out at -3.3514 eV/atom.

Lattice parameters (Å, degrees): 6.4834 6.4834 6.4834 90.00 90.00 90.00
With the nearest neighbours (Å) after each atom.
Space group Fm-3m (No. 225)
Asymmetric unit:
Ag: 0.0000 0.0000 0.0000  8 Cl 2.81
Os: 0.0000 0.0000 0.5000  8 Cl 2.81
Cl: 0.2500 0.2500 0.2500  4 Os 2.81, 4 Ag 2.81

Density functional theory data (PBE) for an optimized crystal structure of HgBi2Cl6.

Calculated values
The total DFT energy (no corrections) comes out at -2.9916 eV/atom.

Lattice parameters (Å, degrees): 20.2583 12.3295 7.1069 90.00 94.97 90.00
With the nearest neighbours (Å) after each atom.
Space group C2/c (No. 15)
Asymmetric unit:
Hg: 0.0000 0.0504 0.2500  2 Hg 3.76, 2 Cl 4.04
Bi: 0.2461 0.4163 0.0119  6 Cl 2.74-2.76
Cl: 0.1673 0.4375 0.6786  2 Bi 2.75
Cl: 0.1721 0.2427 0.1124  2 Bi 2.74-2.76
Cl: 0.1787 0.0719 0.6479  2 Bi 2.75-2.76

Density functional theory data (PBE) for an optimized crystal structure of ZrFeOs2.

Calculated values
As for the energy of formation: 0.06 eV/atom.

Lattice parameters (Å, degrees): 2.8825 4.4898 9.4541 90.00 90.00 90.00
With the nearest neighbours (Å) after each atom.
Space group Immm (No. 71)
Asymmetric unit:
Zr: 0.0000 0.0000 0.0000  4 Fe 2.67, 2 Zr 2.88
Fe: 0.0000 0.0000 0.5000  4 Os 2.52, 4 Zr 2.67
Os: 0.0000 0.5000 0.2192  2 Fe 2.52, 4 Os 2.73

Density functional theory data (PBE) for an optimized crystal structure of BiAu.

Calculated values
As for the energy of formation: 0.24 eV/atom.

Lattice parameters (Å, degrees): 7.9346 7.9346 7.9346 90.00 90.00 90.00
With the nearest neighbours (Å) after each atom.
Space group Pm-3n (No. 223)
Asymmetric unit:
Bi: 0.0000 0.2500 0.5000  4 Au 2.81
Au: 0.0000 0.5000 0.2500  4 Bi 2.81